1.
{"formula": "TbTc2C", "functional": "PBE", "state": "optimized geometry", "e_above_lowest_polymorph_mev_per_atom": 0, "dos_at_fermi_per_ev_cell": 5.8, "formation_energy_kcal_per_mol_atoms": 1.9, "final_energy_ev_per_fu": -34.3, "lattice": [[3.153, -0.001, 0.000], [-1.578, 5.065, 0.000], [0.000, 0.000, 7.463]], "species": ["Tc", "C", "Tc", "Tc", "Tb", "C", "Tc", "Tb"], "frac_coords": [[0.660, 0.320, 0.066], [0.217, 0.435, 0.250], [0.340, 0.680, 0.934], [0.340, 0.680, 0.566], [0.057, 0.113, 0.750], [0.783, 0.565, 0.750], [0.660, 0.320, 0.434], [0.943, 0.887, 0.250]]}


2.
{"formula": "NpMnCrC3", "functional": "PBE", "state": "optimized geometry", "dos_at_fermi_per_ev_cell": 13.2, "formation_energy_kcal_per_mol_atoms": 0.4, "final_energy_ev_per_fu": -59.3, "lattice": [[-0.767, 2.873, -0.627], [-5.143, -1.659, -1.312], [0.670, 1.882, 7.804]], "species": ["C", "Cr", "C", "Mn", "Mn", "C", "C", "Cr", "Np", "Np", "C", "C"], "frac_coords": [[0.750, 0.955, 0.153], [0.250, 0.706, 0.086], [0.750, 0.520, 0.165], [0.250, 0.148, 0.621], [0.750, 0.852, 0.379], [0.250, 0.480, 0.835], [0.250, 0.045, 0.847], [0.750, 0.294, 0.914], [0.250, 0.299, 0.281], [0.750, 0.701, 0.719], [0.750, 0.240, 0.508], [0.250, 0.760, 0.492]]}


3.
{"formula": "SrAlHg2Au", "functional": "PBE", "state": "optimized geometry", "dos_at_fermi_per_ev_cell": 2.0, "formation_energy_kcal_per_mol_atoms": -6.7, "final_energy_ev_per_fu": -10.8, "lattice": [[5.205, 0.000, 0.000], [0.000, 5.205, 0.000], [0.000, 0.000, 5.043]], "species": ["Sr", "Au", "Al", "Hg", "Hg"], "frac_coords": [[0.500, 0.500, 0.500], [0.000, 0.000, 0.500], [0.000, 0.000, 0.000], [0.000, 0.500, 0.000], [0.500, 0.000, 0.000]]}